[1]
## SbPtRh (PBE-GGA)

Data for a relaxed SbPtRh crystal.

Results
**Energy**: -18.1 eV for the cell shown
**Crystal system**: trigonal

abc: 4.247 4.247 3.440
angles: 90.00 90.00 120.00
Atoms (fractional coordinates):
1 Sb 0.667 0.333 0.645
2 Pt 0.000 0.000 0.949
3 Rh 0.333 0.667 0.406

[2]
## SbPtRh2 (PBE-GGA)

Data for a relaxed SbPtRh2 crystal.

Results
**Energy**: -25.5 eV for the cell shown
**Crystal system**: orthorhombic

abc: 4.851 4.851 4.165
angles: 64.58 64.58 48.00
Atoms (fractional coordinates):
1 Sb 0.499 0.499 0.501
2 Pt 0.242 0.242 0.258
3 Rh 0.999 0.999 0.001
4 Rh 0.760 0.760 0.740

[3]
## SbPt2Rh (PBE-GGA)

Data for a relaxed SbPt2Rh crystal.

Results
**Energy**: -48.4 eV for the cell shown
**Crystal system**: monoclinic

abc: 4.522 4.872 6.593
angles: 98.94 90.00 90.00
Atoms (fractional coordinates):
1 Sb 0.750 0.829 0.689
2 Sb 0.250 0.171 0.311
3 Pt 0.750 0.393 0.893
4 Pt 0.250 0.607 0.107
5 Pt 0.250 0.047 0.864
6 Pt 0.750 0.953 0.136
7 Rh 0.250 0.488 0.654
8 Rh 0.750 0.512 0.346

[4]
## SbPt2Rh (PBE-GGA)

Data for a relaxed SbPt2Rh crystal.

Results
**Energy**: -24.4 eV for the cell shown
**Crystal system**: orthorhombic

abc: 4.176 4.176 3.859
angles: 90.00 90.00 97.68
Atoms (fractional coordinates):
1 Sb 0.000 0.500 0.500
2 Rh 0.500 0.000 0.500
3 Pt 0.000 0.000 0.000
4 Pt 0.500 0.500 0.000

Number 1: density of states at the Fermi level 1.71 states/eV per cell. Number 2: density of states at the Fermi level 5.92 states/eV per cell. Number 3: density of states at the Fermi level 7.23 states/eV per cell. Number 4: density of states at the Fermi level 2.53 states/eV per cell.